[1]
The following is a DFT calculation (PBE-GGA) of a geometry-optimized Ti4PdS8 structure.

Cell: 7.1055 7.1055 7.1055 Å, 60.00 60.00 60.00°
Element x y z (fractional)
Ti  0.3776  0.3776  0.3776
Ti  0.3776  0.3776  0.8673
Ti  0.3776  0.8673  0.3776
Ti  0.8673  0.3776  0.3776
Pd  0.0000  0.0000  0.0000
S  0.1335  0.1335  0.1335
S  0.1335  0.1335  0.5994
S  0.1335  0.5994  0.1335
S  0.1404  0.6199  0.6199
S  0.5994  0.1335  0.1335
S  0.6199  0.1404  0.6199
S  0.6199  0.6199  0.1404
S  0.6199  0.6199  0.6199

Polymorph energy (0 for the lowest one) = 0 meV per atom
Formation energy from raw total energies = -15.15 eV per formula unit
Calculated volume = 19.5 A^3/atom

***

[2]
The following is a DFT calculation (PBE-GGA) of a geometry-optimized Ti3PdS structure.

Cell: 7.2722 7.2722 7.6166 Å, 103.15 103.15 24.71°
Element x y z (fractional)
Ti  0.0068  0.0068  0.3020
Ti  0.1819  0.1819  0.8965
Ti  0.2182  0.2182  0.3235
Ti  0.7818  0.7818  0.6765
Ti  0.8181  0.8181  0.1035
Ti  0.9932  0.9932  0.6980
Pd  0.4065  0.4065  0.9254
Pd  0.5935  0.5935  0.0746
S  0.1417  0.1417  0.5728
S  0.8583  0.8583  0.4272

Polymorph energy (0 for the lowest one) = 0 meV per atom
Formation energy from raw total energies = -2.95 eV per formula unit
Calculated volume = 16.4 A^3/atom

***

[3]
The following is a DFT calculation (PBE-GGA) of a geometry-optimized TiPdS2 structure.

Cell: 4.7704 4.8183 6.1908 Å, 90.00 90.00 90.00°
Element x y z (fractional)
Ti  0.2500  0.2500  0.0733
Ti  0.7500  0.7500  0.9267
Pd  0.2500  0.7500  0.6538
Pd  0.7500  0.2500  0.3462
S  0.2500  0.2500  0.4392
S  0.2500  0.7500  0.0376
S  0.7500  0.2500  0.9624
S  0.7500  0.7500  0.5608

Formation energy from raw total energies = -3.34 eV per formula unit
Calculated volume = 17.8 A^3/atom

***

[4]
The following is a DFT calculation (PBE-GGA) of a geometry-optimized TiPdS4 structure.

Cell: 5.8612 3.4793 6.7094 Å, 90.00 107.28 90.00°
Element x y z (fractional)
Ti  0.0000  0.0000  0.0000
Pd  0.5000  0.5000  0.0000
S  0.2386  0.5000  0.2219
S  0.2675  0.0000  0.7836
S  0.7325  0.0000  0.2164
S  0.7614  0.5000  0.7781

Formation energy from raw total energies = -3.92 eV per formula unit
Calculated volume = 21.8 A^3/atom

***

[5]
The following is a DFT calculation (PBE-GGA) of a geometry-optimized TiPd3S structure.

Cell: 4.6623 4.6623 4.6623 Å, 90.00 90.00 90.00°
Element x y z (fractional)
Ti  0.0000  0.0000  0.0000
Pd  0.0000  0.0000  0.5000
Pd  0.0000  0.5000  0.0000
Pd  0.5000  0.0000  0.0000
S  0.5000  0.5000  0.5000

Polymorph energy (0 for the lowest one) = 724 meV per atom
Formation energy from raw total energies = 3.56 eV per formula unit
Calculated volume = 20.3 A^3/atom

***

[6]
The following is a DFT calculation (PBE-GGA) of a geometry-optimized TiPd2S structure.

Cell: 6.6720 6.6720 6.6720 Å, 130.07 130.07 73.30°
Element x y z (fractional)
Ti  0.0000  0.0000  0.0000
Ti  0.7500  0.2500  0.5000
Pd  0.1432  0.6250  0.0182
Pd  0.3750  0.3932  0.5182
Pd  0.6068  0.1250  0.9818
Pd  0.8750  0.8568  0.4818
S  0.2500  0.7500  0.5000
S  0.5000  0.5000  0.0000

Formation energy from raw total energies = 0.21 eV per formula unit
Calculated volume = 21.2 A^3/atom

***

[7]
The following is a DFT calculation (PBE-GGA) of a geometry-optimized TiPdS2 structure.

Cell: 7.7581 7.7581 7.7581 Å, 24.94 24.94 24.94°
Element x y z (fractional)
Ti  0.0000  0.0000  0.0000
Pd  0.5000  0.5000  0.5000
S  0.3980  0.3980  0.3980
S  0.6020  0.6020  0.6020

Formation energy from raw total energies = -3.59 eV per formula unit
Calculated volume = 18.3 A^3/atom

***

[8]
The following is a DFT calculation (PBE-GGA) of a geometry-optimized Ti2PdS6 structure.

Cell: 5.7452 5.7452 10.5939 Å, 90.00 90.00 90.00°
Element x y z (fractional)
Ti  0.0000  0.0000  0.1598
Ti  0.0000  0.0000  0.8402
Ti  0.5000  0.5000  0.3402
Ti  0.5000  0.5000  0.6598
Pd  0.0000  0.0000  0.5000
Pd  0.5000  0.5000  0.0000
S  0.1952  0.1952  0.3276
S  0.1952  0.1952  0.6724
S  0.2006  0.2006  0.0000
S  0.2994  0.7006  0.5000
S  0.3048  0.6952  0.1724
S  0.3048  0.6952  0.8276
S  0.6952  0.3048  0.1724
S  0.6952  0.3048  0.8276
S  0.7006  0.2994  0.5000
S  0.7994  0.7994  0.0000
S  0.8048  0.8048  0.3276
S  0.8048  0.8048  0.6724

Formation energy from raw total energies = -6.61 eV per formula unit
Calculated volume = 19.4 A^3/atom

***

[9]
The following is a DFT calculation (PBE-GGA) of a geometry-optimized Ti4PdS8 structure.

Cell: 7.3968 7.3968 7.3968 Å, 55.09 55.09 55.09°
Element x y z (fractional)
Ti  0.0000  0.0000  0.0000
Ti  0.0000  0.5000  0.5000
Ti  0.5000  0.0000  0.5000
Ti  0.5000  0.5000  0.0000
Pd  0.5000  0.5000  0.5000
S  0.2446  0.2446  0.7406
S  0.2446  0.7406  0.2446
S  0.2574  0.2574  0.2574
S  0.2594  0.7554  0.7554
S  0.7406  0.2446  0.2446
S  0.7426  0.7426  0.7426
S  0.7554  0.2594  0.7554
S  0.7554  0.7554  0.2594

Polymorph energy (0 for the lowest one) = 32 meV per atom
Formation energy from raw total energies = -14.74 eV per formula unit
Calculated volume = 19.5 A^3/atom

***

[10]
The following is a DFT calculation (PBE-GGA) of a geometry-optimized Ti3PdS6 structure.

Cell: 7.6066 7.6066 6.0705 Å, 90.00 90.00 101.43°
Element x y z (fractional)
Ti  0.0990  0.9010  0.5000
Ti  0.2169  0.4215  0.3855
Ti  0.4215  0.2169  0.8855
Ti  0.5785  0.7831  0.3855
Ti  0.7831  0.5785  0.8855
Ti  0.9010  0.0990  0.0000
Pd  0.2648  0.7352  0.8513
Pd  0.7352  0.2648  0.3513
S  0.0276  0.5931  0.6269
S  0.1286  0.1990  0.6962
S  0.1990  0.1286  0.1962
S  0.2718  0.7282  0.2494
S  0.4069  0.9724  0.6269
S  0.4679  0.5321  0.7326
S  0.5321  0.4679  0.2326
S  0.5931  0.0276  0.1269
S  0.7282  0.2718  0.7494
S  0.8010  0.8714  0.6962
S  0.8714  0.8010  0.1962
S  0.9724  0.4069  0.1269

Formation energy from raw total energies = -10.06 eV per formula unit
Calculated volume = 17.2 A^3/atom

***

[11]
The following is a DFT calculation (PBE-GGA) of a geometry-optimized TiPd2S2 structure.

Cell: 6.2600 6.2600 4.3353 Å, 90.00 90.00 90.00°
Element x y z (fractional)
Ti  0.0000  0.0000  0.0000
Ti  0.5000  0.5000  0.0000
Pd  0.2447  0.2553  0.5000
Pd  0.2553  0.7553  0.5000
Pd  0.7447  0.2447  0.5000
Pd  0.7553  0.7447  0.5000
S  0.1557  0.6557  0.0000
S  0.3443  0.1557  0.0000
S  0.6557  0.8443  0.0000
S  0.8443  0.3443  0.0000

Formation energy from raw total energies = -2.68 eV per formula unit
Calculated volume = 17.0 A^3/atom

***

[12]
The following is a DFT calculation (PBE-GGA) of a geometry-optimized TiPdS2 structure.

Cell: 6.6782 6.6782 6.6782 Å, 131.66 131.66 70.77°
Element x y z (fractional)
Ti  0.0000  0.0000  0.0000
Ti  0.7500  0.2500  0.5000
Pd  0.2500  0.7500  0.5000
Pd  0.5000  0.5000  0.0000
S  0.1094  0.6250  0.9844
S  0.3750  0.3594  0.4844
S  0.6406  0.1250  0.0156
S  0.8750  0.8906  0.5156

Formation energy from raw total energies = -3.25 eV per formula unit
Calculated volume = 20.4 A^3/atom